# 1
Computed, not measured: an optimized crystal structure of KAl3Sb3 at the GGA-PBE level of DFT.

Computed properties:
* space-group type: No. 176

Lattice parameters (Å, degrees): 4.996 10.286 10.286 120.00 90.00 90.00
Positions (direct):
K1 0.250 0.667 0.333
K2 0.750 0.333 0.667
Al1 0.250 0.594 0.943
Al2 0.250 0.057 0.651
Al3 0.250 0.349 0.406
Al4 0.750 0.406 0.057
Al5 0.750 0.943 0.349
Al6 0.750 0.651 0.594
Sb1 0.250 0.077 0.393
Sb2 0.250 0.607 0.684
Sb3 0.250 0.316 0.923
Sb4 0.750 0.923 0.607
Sb5 0.750 0.393 0.316
Sb6 0.750 0.684 0.077



# 2
Computed, not measured: an optimized crystal structure of KAlSb2 at the GGA-PBE level of DFT.

Computed properties:
* space-group type: No. 122

Lattice parameters (Å, degrees): 6.050 6.050 9.634 71.70 71.70 90.00
Positions (direct):
Sb1 0.461 0.125 0.250
Sb2 0.289 0.625 0.250
Sb3 0.375 0.539 0.750
Sb4 0.875 0.711 0.750
K1 0.000 0.000 0.000
K2 0.750 0.250 0.500
Al1 0.500 0.500 0.000
Al2 0.250 0.750 0.500



# 3
Computed, not measured: an optimized crystal structure of KAlSb2 at the GGA-PBE level of DFT.

Computed properties:
* space-group type: No. 65

Lattice parameters (Å, degrees): 6.097 6.097 3.205 89.97 89.97 112.96
Positions (direct):
Sb1 0.000 0.000 0.000
Sb2 0.500 0.500 0.000
K1 0.000 0.500 0.500
Al1 0.500 0.000 0.500



For each record above, in turn, the calculated final energy values are -25.561 -13.345 -12.756 eV per formula unit.
For each record above, in turn, the calculated E_form (uncorrected) values are -0.9 -0.3 0.3 eV/f.u..